[1]
# BaIn2BiBr8, optimized geometry, DFT PBE-GGA
data_BaIn2BiBr8
_cell_length_a 7.090
_cell_length_b 9.349
_cell_length_c 7.274
_cell_angle_alpha 90.00
_cell_angle_beta 91.06
_cell_angle_gamma 90.00
_space_group_name_H-M_alt 'P 1 2/m 1'
_space_group_IT_number 10
_space_group_name_Hall '-P 2y'
loop_
_atom_site_label
_atom_site_fract_x
_atom_site_fract_y
_atom_site_fract_z
Ba1 0.000 0.000 0.000
In1 0.500 0.257 0.500
Bi1 0.000 0.500 0.000
Br1 0.220 0.275 0.828
Br2 0.265 0.500 0.308
Br3 0.304 0.000 0.338
# - formation energy (no corrections) (meV per atom) = -1025.9

[2]
# BaBiIrBr2, optimized geometry, DFT PBE-GGA
data_BaBiIrBr2
_cell_length_a 5.967
_cell_length_b 5.967
_cell_length_c 5.549
_cell_angle_alpha 90.00
_cell_angle_beta 90.00
_cell_angle_gamma 90.00
_space_group_name_H-M_alt 'P 4/m m m'
_space_group_IT_number 123
_space_group_name_Hall '-P 4 2'
loop_
_atom_site_label
_atom_site_fract_x
_atom_site_fract_y
_atom_site_fract_z
Ba1 0.000 0.000 0.000
Bi1 0.500 0.500 0.500
Ir1 0.000 0.000 0.500
Br1 0.000 0.500 0.000
# - formation energy (no corrections) (meV per atom) = 582.5

[3]
# KBaBiBr, optimized geometry, DFT PBE-GGA
data_KBaBiBr
_cell_length_a 8.526
_cell_length_b 8.526
_cell_length_c 8.526
_cell_angle_alpha 90.00
_cell_angle_beta 90.00
_cell_angle_gamma 90.00
_space_group_name_H-M_alt 'F -4 3 m'
_space_group_IT_number 216
_space_group_name_Hall 'F -4 2 3'
loop_
_atom_site_label
_atom_site_fract_x
_atom_site_fract_y
_atom_site_fract_z
K1 0.000 0.000 0.000
Ba1 0.000 0.000 0.500
Bi1 0.250 0.250 0.250
Br1 0.250 0.250 0.750
# - formation energy (no corrections) (meV per atom) = -955.6

[4]
# BaLi2BiBr, optimized geometry, DFT PBE-GGA
data_BaLi2BiBr
_cell_length_a 5.107
_cell_length_b 5.107
_cell_length_c 6.317
_cell_angle_alpha 90.00
_cell_angle_beta 90.00
_cell_angle_gamma 90.00
_space_group_name_H-M_alt 'P 4/m m m'
_space_group_IT_number 123
_space_group_name_Hall '-P 4 2'
loop_
_atom_site_label
_atom_site_fract_x
_atom_site_fract_y
_atom_site_fract_z
Ba1 0.000 0.000 0.000
Li1 0.000 0.500 0.500
Bi1 0.500 0.500 0.000
Br1 0.000 0.000 0.500
# - formation energy (no corrections) (meV per atom) = -826.6

[5]
# Ba6Bi2BrN, optimized geometry, DFT PBE-GGA
data_Ba6Bi2BrN
_cell_length_a 8.303
_cell_length_b 11.732
_cell_length_c 8.305
_cell_angle_alpha 90.00
_cell_angle_beta 90.00
_cell_angle_gamma 90.00
_space_group_name_H-M_alt 'P m m n'
_space_group_IT_number 59
loop_
_space_group_symop_operation_xyz
'x,y,z'
'-x,-y,-z'
'-x+1/2,-y+1/2,z'
'x+1/2,y+1/2,-z'
'x+1/2,-y,-z'
'-x+1/2,y,z'
'-x,y+1/2,-z'
'x,-y+1/2,z'
loop_
_atom_site_label
_atom_site_fract_x
_atom_site_fract_y
_atom_site_fract_z
Ba1 0.019 0.250 0.019
Ba2 0.019 0.250 0.480
Ba3 0.250 0.019 0.250
Bi1 0.250 0.000 0.750
Br1 0.250 0.750 0.250
N1 0.250 0.250 0.250
# - formation energy (no corrections) (meV per atom) = -821.4

[6]
# BaBi2Br2O5, optimized geometry, DFT PBE-GGA
data_BaBi2Br2O5
_cell_length_a 4.054
_cell_length_b 4.054
_cell_length_c 27.525
_cell_angle_alpha 90.00
_cell_angle_beta 90.00
_cell_angle_gamma 90.00
_space_group_name_H-M_alt 'I 4 m m'
_space_group_IT_number 107
_space_group_name_Hall 'I 4 -2'
loop_
_atom_site_label
_atom_site_fract_x
_atom_site_fract_y
_atom_site_fract_z
Ba1 0.000 0.000 0.000
Bi1 0.000 0.000 0.132
Bi2 0.000 0.000 0.406
Br1 0.000 0.000 0.311
Br2 0.000 0.000 0.693
O1 0.000 0.000 0.487
O2 0.000 0.500 0.090
O3 0.000 0.500 0.426
# - formation energy (no corrections) (meV per atom) = -923.1

[7]
# Ba4Bi2BrO2, optimized geometry, DFT PBE-GGA
data_Ba4Bi2BrO2
_cell_length_a 18.292
_cell_length_b 4.413
_cell_length_c 10.174
_cell_angle_alpha 90.00
_cell_angle_beta 119.71
_cell_angle_gamma 90.00
_space_group_name_H-M_alt 'C 1 2/m 1'
_space_group_IT_number 12
_space_group_name_Hall '-C 2y'
loop_
_atom_site_label
_atom_site_fract_x
_atom_site_fract_y
_atom_site_fract_z
Ba1 0.028 0.000 0.274
Ba2 0.229 0.500 0.634
Bi1 0.094 0.500 0.051
Br1 0.000 0.500 0.500
O1 0.176 0.000 0.482
# - formation energy (no corrections) (meV per atom) = -1752.1

[8]
# Ba8Bi3PBr4, optimized geometry, DFT PBE-GGA
data_Ba8Bi3PBr4
_cell_length_a 10.0004
_cell_length_b 10.0004
_cell_length_c 24.0280
_cell_angle_alpha 90.00
_cell_angle_beta 90.00
_cell_angle_gamma 120.00
_space_group_name_H-M_alt 'R -3 m'
_space_group_IT_number 166
_space_group_name_Hall '-R 3 2"'
loop_
_atom_site_label
_atom_site_fract_x
_atom_site_fract_y
_atom_site_fract_z
Ba1 0.0000 0.0000 0.2450
Ba2 0.0163 0.5082 0.2416
Bi1 0.0000 0.5000 0.5000
P1 0.0000 0.0000 0.5000
Br1 0.0000 0.0000 0.0000
Br2 0.0000 0.5000 0.0000
# - formation energy (no corrections) (meV per atom) = -1444.2

no.,DFT total energy (eV per cell)
1,-36.97
2,-15.10
3,-49.59
4,-15.44
5,-75.02
6,-94.10
7,-85.62
8,-186.70